1.
Here is a relaxed structure of OsWSe4 from Alexandria. Energies are from GGA-PBE.

a b c (Å): 7.7523 7.7523 5.5861
angles (deg): 104.13 104.13 122.19
Atoms (fractional coordinates):
Os 0.1594 0.8406 0.7500
Os 0.8406 0.1594 0.2500
W 0.0524 0.9476 0.2500
W 0.9476 0.0524 0.7500
Se 0.0392 0.4375 0.7459
Se 0.2175 0.3328 0.2684
Se 0.3328 0.2175 0.7684
Se 0.4375 0.0392 0.2459
Se 0.5625 0.9608 0.7541
Se 0.6672 0.7825 0.2316
Se 0.7825 0.6672 0.7316
Se 0.9608 0.5625 0.2541

Output
V (Å³/f.u.): 122.6
E_form (uncorrected) (meV per atom): -76
Offset from the most stable computed form (meV/atom): 0

=====

2.
Here is a relaxed structure of PmTl2Os3O12 from Alexandria. Energies are from GGA-PBE.

a b c (Å): 7.6093 7.6093 7.6093
angles (deg): 57.69 57.69 57.69
Atoms (fractional coordinates):
Pm 0.0000 0.0000 0.0000
Tl 0.3435 0.3435 0.3435
Tl 0.6565 0.6565 0.6565
Os 0.0000 0.0000 0.5000
Os 0.0000 0.5000 0.0000
Os 0.5000 0.0000 0.0000
O 0.0767 0.7036 0.7036
O 0.0885 0.0885 0.6223
O 0.0885 0.6223 0.0885
O 0.2964 0.2964 0.9233
O 0.2964 0.9233 0.2964
O 0.3777 0.9115 0.9115
O 0.6223 0.0885 0.0885
O 0.7036 0.0767 0.7036
O 0.7036 0.7036 0.0767
O 0.9115 0.3777 0.9115
O 0.9115 0.9115 0.3777
O 0.9233 0.2964 0.2964

Output
V (Å³/f.u.): 295.0
E_form (uncorrected) (meV per atom): -1257

=====

Number 1: calculated total energy -6.43 eV/atom. Number 2: calculated total energy -6.96 eV/atom.